Entry 1:
As2HSe: relaxed, PBE.

a b c (Å): 4.546 4.546 4.546
angles (deg): 60.00 60.00 60.00
Fractional positions:
As 0.250 0.250 0.250
Se 0.500 0.500 0.500
H 0.000 0.000 0.000
As 0.750 0.750 0.750

offset from the most stable computed form = 0.2317 eV/atom
DOS at the Fermi energy = 1.33 states/eV per cell
calculated volume = 66.4 Å³ per cell

Entry 2:
AsH3Se: relaxed, PBE.

a b c (Å): 3.751 3.751 3.751
angles (deg): 90.00 90.00 90.00
Fractional positions:
As 0.500 0.500 0.500
H 0.000 0.500 0.000
Se 0.000 0.000 0.000
H 0.000 0.000 0.500
H 0.500 0.000 0.000

offset from the most stable computed form = 0.1817 eV/atom
DOS at the Fermi energy = 1.70 states/eV per cell
calculated volume = 52.8 Å³ per cell

Entry 3:
AsHSe3: relaxed, PBE.

a b c (Å): 4.381 4.381 4.381
angles (deg): 90.00 90.00 90.00
Fractional positions:
H 0.000 0.000 0.000
Se 0.000 0.500 0.000
As 0.500 0.500 0.500
Se 0.500 0.000 0.000
Se 0.000 0.000 0.500

offset from the most stable computed form = 0.7424 eV/atom
DOS at the Fermi energy = 3.04 states/eV per cell
calculated volume = 84.1 Å³ per cell

Entry 4:
AsH3Se: relaxed, PBE.

a b c (Å): 3.726 3.726 3.726
angles (deg): 90.00 90.00 90.00
Fractional positions:
H 0.000 0.500 0.000
H 0.500 0.000 0.000
Se 0.500 0.500 0.500
As 0.000 0.000 0.000
H 0.000 0.000 0.500

offset from the most stable computed form = 0.0000 eV/atom
DOS at the Fermi energy = 3.40 states/eV per cell
calculated volume = 51.7 Å³ per cell

Entry 5:
AsHSe4: relaxed, PBE.

a b c (Å): 5.128 5.075 18.381
angles (deg): 108.80 105.35 89.76
Fractional positions:
Se 0.679 0.976 0.245
Se 0.477 0.694 0.976
Se 0.321 0.024 0.755
H 0.624 0.304 0.599
Se 0.523 0.306 0.024
Se 0.797 0.529 0.594
As 0.037 0.660 0.733
Se 0.203 0.471 0.406
Se 0.023 0.806 0.024
H 0.376 0.696 0.401
As 0.963 0.340 0.267
Se 0.977 0.194 0.976

calculated total energy = -3.533 eV/atom
DOS at the Fermi energy = 0.39 states/eV per cell
calculated volume = 435.0 Å³ per cell

Entry 6:
AsHSe3: relaxed, PBE.

a b c (Å): 6.347 9.054 9.054
angles (deg): 109.78 84.55 84.55
Fractional positions:
Se 0.354 0.458 0.279
Se 0.394 0.129 0.626
Se 0.395 0.783 0.974
H 0.557 0.507 0.338
Se 0.894 0.626 0.129
Se 0.606 0.871 0.374
H 0.943 0.662 0.493
As 0.750 0.240 0.760
Se 0.895 0.974 0.783
As 0.250 0.115 0.885
As 0.250 0.760 0.240
H 0.443 0.493 0.662
Se 0.646 0.542 0.721
Se 0.146 0.721 0.542
As 0.750 0.885 0.115
H 0.057 0.338 0.507
Se 0.105 0.026 0.217
Se 0.605 0.217 0.026
Se 0.106 0.374 0.871
Se 0.854 0.279 0.458

offset from the most stable computed form = 0.0000 eV/atom
DOS at the Fermi energy = 1.71 states/eV per cell
calculated volume = 482.8 Å³ per cell

Entry 7:
AsHSe3: relaxed, PBE.

a b c (Å): 5.090 5.090 5.090
angles (deg): 90.00 90.00 90.00
Site moments in Bohr magnetons follow the coordinates.
Fractional positions:
Se 0.000 0.000 0.500  -0.16
Se 0.000 0.500 0.000  -0.13
Se 0.500 0.000 0.000  -0.16
As 0.000 0.000 0.000  -0.02
H 0.500 0.500 0.500  0.35

offset from the most stable computed form = 0.9085 eV/atom
DOS at the Fermi energy = 5.83 states/eV per cell
calculated volume = 131.9 Å³ per cell

Entry 8:
As3HSe: relaxed, PBE.

a b c (Å): 4.341 4.341 4.341
angles (deg): 90.00 90.00 90.00
Fractional positions:
Se 0.500 0.500 0.500
H 0.000 0.000 0.000
As 0.000 0.000 0.500
As 0.000 0.500 0.000
As 0.500 0.000 0.000

offset from the most stable computed form = 0.0000 eV/atom
DOS at the Fermi energy = 3.60 states/eV per cell
calculated volume = 81.8 Å³ per cell

Entry 9:
As2HSe: relaxed, PBE.

a b c (Å): 5.409 5.409 6.350
angles (deg): 64.79 64.79 90.00
Fractional positions:
H 0.500 0.500 0.000
Se 0.750 0.250 0.500
H 0.250 0.750 0.500
As 0.518 0.125 0.250
Se 0.000 0.000 0.000
As 0.232 0.625 0.250
As 0.375 0.482 0.750
As 0.875 0.768 0.750

offset from the most stable computed form = 0.0000 eV/atom
DOS at the Fermi energy = 4.39 states/eV per cell
calculated volume = 148.3 Å³ per cell

Entry 10:
Sm6As2HSe3: relaxed, PBE.

a b c (Å): 4.161 8.253 9.243
angles (deg): 103.80 103.01 90.00
Fractional positions:
As 0.836 0.671 0.673
Sm 0.664 0.086 0.328
Se 0.831 0.166 0.662
Sm 0.999 0.246 0.999
As 0.164 0.329 0.327
Se 0.500 0.500 0.000
Sm 0.330 0.422 0.661
Sm 0.336 0.914 0.672
Se 0.169 0.834 0.338
Sm 0.001 0.754 0.001
Sm 0.670 0.578 0.339
H 0.500 0.000 0.000

calculated total energy = -5.740 eV/atom
DOS at the Fermi energy = 6.00 states/eV per cell
calculated volume = 299.9 Å³ per cell